An optimized crystal structure of TlFeSeF2, computed with PBE+U.

## Properties
DFT total energy in eV/cell: -21.90
Mass density in kg/m³: 6819
DOS at the Fermi energy in states/eV per cell: 2.7

Unit cell a=4.1807 b=4.1807 c=5.2555 alpha=90.00 beta=90.00 gamma=90.00
Last column: nearest neighbours and their distance in Å.
Space group P4/mmm (No. 123)
Symmetry-distinct sites (fractional):
Tl: 0.0000 0.0000 0.0000  4 Se 2.96
Fe: 0.5000 0.5000 0.5000  4 F 2.09
Se: 0.5000 0.5000 0.0000  2 Fe 2.63
F: 0.0000 0.5000 0.5000  2 Fe 2.09